Material: CaCl
Method: DFT, meta-GGA SCAN
State: PBEsol geometry

ΔE_f (raw)	-1.88	eV per atom
symmetry	P-3m1

a b c (Å): 3.988 3.988 9.159
angles (deg): 90.00 90.00 120.00
Fractional positions:
Cl (0.667, 0.333, 0.328)
Ca (0.667, 0.333, 0.828)
Cl (0.333, 0.667, 0.672)
Ca (0.333, 0.667, 0.172)



Material: CaCl3
Method: DFT, meta-GGA SCAN
State: PBEsol geometry

D(E_F)	0.2493	states/eV/atom
ΔE_f (raw)	-1.72	eV per atom
symmetry	Cmmm

a b c (Å): 4.239 5.201 5.242
angles (deg): 60.26 90.00 90.00
Fractional positions:
Cl (0.500, 0.214, 0.573)
Cl (0.500, 0.786, 0.427)
Cl (0.000, 0.500, 0.000)
Ca (0.000, 0.000, 0.000)



Material: Ca2Cl
Method: DFT, meta-GGA SCAN
State: PBEsol geometry

D(E_F)	0.8783	states/eV/atom
ΔE_f (raw)	-0.62	eV per atom
symmetry	Fm-3m
distance to the lowest polymorph of the same formula	1.80	eV/f.u.

a b c (Å): 4.994 4.994 4.994
angles (deg): 60.00 60.00 60.00
Site moments in Bohr magnetons follow the coordinates.
Fractional positions:
Ca (0.250, 0.250, 0.250)  0.17
Ca (0.750, 0.750, 0.750)  0.17
Cl (0.000, 0.000, 0.000)  0.00



Material: Ca2Cl
Method: DFT, meta-GGA SCAN
State: PBEsol geometry

D(E_F)	0.3403	states/eV/atom
ΔE_f (raw)	-1.22	eV per atom
symmetry	P-3m1
distance to the lowest polymorph of the same formula	0.00	eV/f.u.

a b c (Å): 3.825 3.825 6.950
angles (deg): 90.00 90.00 120.00
Site moments in Bohr magnetons follow the coordinates.
Fractional positions:
Cl (0.000, 0.000, 0.000)  0.02
Ca (0.667, 0.333, 0.287)  0.12
Ca (0.333, 0.667, 0.713)  0.12



Material: Ca2Cl
Method: DFT, meta-GGA SCAN
State: PBEsol geometry

D(E_F)	0.6839	states/eV/atom
ΔE_f (raw)	-1.15	eV per atom
symmetry	C2/m
distance to the lowest polymorph of the same formula	0.20	eV/f.u.

a b c (Å): 3.720 7.344 7.527
angles (deg): 83.58 75.70 75.33
Fractional positions:
Ca (0.752, 0.835, 0.661)
Ca (0.050, 0.765, 0.136)
Ca (0.950, 0.235, 0.864)
Ca (0.248, 0.165, 0.339)
Cl (0.329, 0.546, 0.797)
Cl (0.671, 0.454, 0.203)



Material: CaCl3
Method: DFT, meta-GGA SCAN
State: PBEsol geometry

D(E_F)	0.1570	states/eV/atom
ΔE_f (raw)	-1.62	eV per atom
symmetry	Cmmm

a b c (Å): 4.262 4.262 5.030
angles (deg): 90.00 90.00 104.05
Fractional positions:
Ca (0.000, 0.000, 0.000)
Cl (0.500, 0.000, 0.500)
Cl (0.500, 0.500, 0.000)
Cl (0.000, 0.500, 0.500)



Material: CaCl5
Method: DFT, meta-GGA SCAN
State: PBEsol geometry

D(E_F)	0.5424	states/eV/atom
ΔE_f (raw)	-0.89	eV per atom
symmetry	Amm2

a b c (Å): 3.877 6.093 6.645
angles (deg): 90.00 90.00 108.55
Fractional positions:
Cl (0.529, 0.059, 0.500)
Ca (0.026, 0.052, 0.000)
Cl (0.380, 0.761, 0.000)
Cl (0.199, 0.397, 0.500)
Cl (0.860, 0.720, 0.500)
Cl (0.672, 0.344, 0.000)



Material: CaCl3
Method: DFT, meta-GGA SCAN
State: PBEsol geometry

D(E_F)	0.7554	states/eV/atom
ΔE_f (raw)	-1.52	eV per atom
symmetry	P-6m2

a b c (Å): 3.797 3.797 9.124
angles (deg): 90.00 90.00 120.00
Site moments in Bohr magnetons follow the coordinates.
Fractional positions:
Cl (0.333, 0.667, 0.824)  0.02
Ca (0.000, 0.000, 0.000)  0.00
Cl (0.000, 0.000, 0.500)  0.74
Cl (0.333, 0.667, 0.176)  0.02



Material: CaCl3
Method: DFT, meta-GGA SCAN
State: PBEsol geometry

D(E_F)	0.5955	states/eV/atom
ΔE_f (raw)	-1.55	eV per atom
symmetry	I4/mmm

a b c (Å): 4.067 4.067 5.852
angles (deg): 110.33 110.33 90.00
Fractional positions:
Cl (0.750, 0.250, 0.500)
Ca (0.000, 0.000, 0.000)
Cl (0.500, 0.500, 0.000)
Cl (0.250, 0.750, 0.500)



Material: CaCo4Cl
Method: DFT, meta-GGA SCAN
State: PBEsol geometry

D(E_F)	0.9125	states/eV/atom
ΔE_f (raw)	0.38	eV per atom
symmetry	F-43m

a b c (Å): 4.940 4.940 4.940
angles (deg): 60.00 60.00 60.00
Site moments in Bohr magnetons follow the coordinates.
Fractional positions:
Co (0.375, 0.875, 0.375)  1.86
Co (0.375, 0.375, 0.875)  1.86
Co (0.875, 0.375, 0.375)  1.86
Cl (0.000, 0.000, 0.000)  0.13
Ca (0.750, 0.750, 0.750)  -0.16
Co (0.375, 0.375, 0.375)  1.86



Material: Ca2CoCl
Method: DFT, meta-GGA SCAN
State: PBEsol geometry

D(E_F)	0.5822	states/eV/atom
ΔE_f (raw)	-0.62	eV per atom
symmetry	R-3m

a b c (Å): 3.695 3.695 7.901
angles (deg): 76.48 76.48 60.00
Site moments in Bohr magnetons follow the coordinates.
Fractional positions:
Cl (0.500, 0.500, 0.500)  -0.01
Co (0.000, 0.000, 0.000)  1.53
Ca (0.257, 0.257, 0.228)  -0.10
Ca (0.743, 0.743, 0.772)  -0.10



Material: RbCaCoCl2
Method: DFT, meta-GGA SCAN
State: PBEsol geometry

D(E_F)	0.7426	states/eV/atom
ΔE_f (raw)	-0.29	eV per atom
symmetry	P4/mmm

a b c (Å): 5.466 5.644 5.644
angles (deg): 90.00 90.00 90.00
Site moments in Bohr magnetons follow the coordinates.
Fractional positions:
Co (0.500, 0.000, 0.000)  1.97
Cl (0.000, 0.500, 0.000)  0.00
Cl (0.000, 0.000, 0.500)  0.00
Ca (0.500, 0.500, 0.500)  -0.03
Rb (0.000, 0.000, 0.000)  0.03



Material: CaCrPCl2
Method: DFT, meta-GGA SCAN
State: PBEsol geometry

D(E_F)	0.6526	states/eV/atom
ΔE_f (raw)	-0.46	eV per atom
symmetry	P4/mmm

a b c (Å): 5.009 5.009 5.693
angles (deg): 90.00 90.00 90.00
Site moments in Bohr magnetons follow the coordinates.
Fractional positions:
Cl (0.500, 0.000, 0.000)  -0.04
Cl (0.000, 0.500, 0.000)  -0.04
Ca (0.000, 0.000, 0.000)  -0.02
Cr (0.500, 0.500, 0.500)  4.31
P (0.000, 0.000, 0.500)  -0.72



Material: RbCa2CrCl
Method: DFT, meta-GGA SCAN
State: PBEsol geometry

D(E_F)	0.8386	states/eV/atom
ΔE_f (raw)	0.57	eV per atom
symmetry	P4/mmm

a b c (Å): 5.440 6.660 6.660
angles (deg): 90.00 90.00 90.00
Site moments in Bohr magnetons follow the coordinates.
Fractional positions:
Ca (0.000, 0.500, 0.000)  -0.04
Cr (0.500, 0.500, 0.500)  4.39
Rb (0.000, 0.000, 0.000)  -0.02
Ca (0.000, 0.000, 0.500)  -0.04
Cl (0.500, 0.000, 0.000)  0.01



Material: CsCaCl3
Method: DFT, meta-GGA SCAN
State: PBEsol geometry

D(E_F)	0.0000	states/eV/atom
ΔE_f (raw)	-2.55	eV per atom
symmetry	P4mm

a b c (Å): 5.353 5.355 5.355
angles (deg): 90.00 90.00 90.00
Fractional positions:
Cl (0.512, 0.000, 0.500)
Cl (0.013, 0.000, 0.000)
Cs (0.011, 0.500, 0.500)
Cl (0.512, 0.500, 0.000)
Ca (0.513, 0.000, 0.000)



Material: Cs2NaCaCl6
Method: DFT, meta-GGA SCAN
State: PBEsol geometry

D(E_F)	1.3520	states/eV/atom
ΔE_f (raw)	-2.04	eV per atom
symmetry	Fm-3m

a b c (Å): 7.561 7.561 7.561
angles (deg): 60.00 60.00 60.00
Site moments in Bohr magnetons follow the coordinates.
Fractional positions:
Cs (0.250, 0.250, 0.250)  0.00
Cl (0.751, 0.249, 0.249)  0.15
Cl (0.249, 0.751, 0.249)  0.15
Cl (0.751, 0.249, 0.751)  0.15
Cl (0.751, 0.751, 0.249)  0.15
Cl (0.249, 0.249, 0.751)  0.15
Ca (0.000, 0.000, 0.000)  -0.01
Na (0.500, 0.500, 0.500)  0.00
Cs (0.750, 0.750, 0.750)  0.00
Cl (0.249, 0.751, 0.751)  0.15



Material: CsCaPCl2
Method: DFT, meta-GGA SCAN
State: PBEsol geometry

D(E_F)	0.0199	states/eV/atom
ΔE_f (raw)	-1.50	eV per atom
symmetry	P4/mmm

a b c (Å): 5.377 5.377 5.712
angles (deg): 90.00 90.00 90.00
Site moments in Bohr magnetons follow the coordinates.
Fractional positions:
Ca (0.000, 0.000, 0.000)  -0.01
P (0.000, 0.000, 0.500)  0.73
Cs (0.500, 0.500, 0.500)  0.03
Cl (0.000, 0.500, 0.000)  0.03
Cl (0.500, 0.000, 0.000)  0.03



Material: CaCuCl
Method: DFT, meta-GGA SCAN
State: PBEsol geometry

ΔE_f (raw)	-0.48	eV per atom
symmetry	F-43m

a b c (Å): 4.675 4.675 4.675
angles (deg): 60.00 60.00 60.00
Fractional positions:
Ca (0.500, 0.500, 0.500)
Cu (0.000, 0.000, 0.000)
Cl (0.750, 0.750, 0.750)



Material: CaCu2Cl
Method: DFT, meta-GGA SCAN
State: PBEsol geometry

D(E_F)	0.3703	states/eV/atom
ΔE_f (raw)	-0.22	eV per atom
symmetry	P4/mmm

a b c (Å): 3.953 3.953 5.088
angles (deg): 90.00 90.00 89.98
Fractional positions:
Ca (0.500, 0.500, 0.000)
Cu (0.000, 0.000, 0.754)
Cu (0.000, 0.000, 0.246)
Cl (0.500, 0.500, 0.500)



Material: Ca3CuCl
Method: DFT, meta-GGA SCAN
State: PBEsol geometry

D(E_F)	1.1573	states/eV/atom
ΔE_f (raw)	-0.31	eV per atom
symmetry	Pm-3m

a b c (Å): 5.243 5.243 5.243
angles (deg): 90.00 90.00 90.00
Site moments in Bohr magnetons follow the coordinates.
Fractional positions:
Ca (0.000, 0.500, 0.000)  0.06
Ca (0.000, 0.000, 0.500)  0.06
Cu (0.500, 0.500, 0.500)  0.00
Cl (0.000, 0.000, 0.000)  -0.01
Ca (0.500, 0.000, 0.000)  0.06



| no. | electronic total energy (eV/atom) | total moment (μB per cell) |
| --- | --- | --- |
| 1 | -10.696 | 0.0 |
| 2 | -10.118 | 0.0 |
| 3 | -9.722 | 1.0 |
| 4 | -10.321 | 1.0 |
| 5 | -10.254 | 0.2 |
| 6 | -10.020 | 0.0 |
| 7 | -9.152 | 0.0 |
| 8 | -9.922 | 1.0 |
| 9 | -9.953 | 0.0 |
| 10 | -14.100 | 7.0 |
| 11 | -11.774 | 0.9 |
| 12 | -13.023 | 2.0 |
| 13 | -11.341 | 3.0 |
| 14 | -12.718 | 4.9 |
| 15 | -16.834 | 0.0 |
| 16 | -15.774 | 1.1 |
| 17 | -16.268 | 2.0 |
| 18 | -11.429 | 0.0 |
| 19 | -12.229 | 0.0 |
| 20 | -10.744 | 0.7 |